BeAlAg | Alexandria | PBE | optimized geometry; space group = F-43m, No. 216; ΔH_f (0 K) = 0.31 eV per atom; calculated total energy = -3.129 eV per atom
1.0
0.0000 2.9178 2.9178
2.9178 0.0000 2.9178
2.9178 2.9178 0.0000
Be Al Ag
1 1 1
Direct
0.0000 0.0000 0.0000
0.5000 0.5000 0.5000
0.2500 0.2500 0.2500

CaNiH | Alexandria | PBE | optimized geometry; space group = P-6m2, No. 187; calculated total energy = -3.640 eV per atom
1.0
3.5088 0.0000 0.0000
-1.7544 3.0387 0.0000
0.0000 0.0000 4.0047
Ca Ni H
1 1 1
Direct
0.0000 0.0000 0.0000
0.6667 0.3333 0.5000
0.3333 0.6667 0.5000

| no. | polymorph energy (0 for the lowest one) (eV/atom) |
| --- | --- |
| 1 | 0.160 |
| 2 | 0.280 |